Run a
# Tb3Pt2

A relaxed structure of Tb3Pt2 (PBE-GGA, the Alexandria database).

```
5
Lattice="4.8778 0.0000 0.0000 -2.4389 4.2243 0.0000 0.0000 0.0000 6.1134" Properties=species:S:1:pos:R:3 pbc="T T T"
Tb 0.0000 0.0000 0.0000
Tb 0.0000 2.8162 4.0635
Tb 2.4389 1.4081 2.0499
Pt 0.0000 2.8162 1.1272
Pt 2.4389 1.4081 4.9862
```

Summary:
Space-group type: P-3m1, No. 164
DOS(E_F), states/eV/cell: 3.436

---

Run b
# Tb3Pt2

A relaxed structure of Tb3Pt2 (PBE-GGA, the Alexandria database).

```
15
Lattice="8.9584 -2.1335 0.0000 8.9584 2.1335 0.0000 -1.4425 0.0000 10.5787" Properties=species:S:1:pos:R:3 pbc="T T T"
Tb 0.0000 0.0000 0.0000
Tb -0.3036 0.0000 6.9664
Tb 4.6662 0.0000 4.0702
Tb 5.8114 0.0000 0.4651
Tb 5.6810 0.0000 7.6331
Tb 10.7933 0.0000 2.9457
Tb 10.6630 0.0000 10.1136
Tb 11.8081 0.0000 6.5086
Tb 16.7780 0.0000 3.6123
Pt 1.7568 0.0000 4.9219
Pt 3.1339 0.0000 1.4463
Pt 8.2148 0.0000 1.8508
Pt 8.2595 0.0000 8.7279
Pt 13.3404 0.0000 9.1324
Pt 14.7175 0.0000 5.6569
```

Summary:
Space-group type: C2/m, No. 12
DOS(E_F), states/eV/cell: 10.497

---

Out of the structures above, which one is the most stable? Solution: run a.